(1)
# SrBOs

An optimized crystal structure of SrBOs (GGA-PBE, OQMD via LeMat-Bulk).

Calculated values
Space group = F-43m (216)
Polymorph energy (0 for the lowest one) = 0 meV per atom
Magnetization = 0.01 μB/f.u.

```
data_SrBOs
_cell_length_a 4.246
_cell_length_b 4.246
_cell_length_c 4.246
_cell_angle_alpha 60.00
_cell_angle_beta 60.00
_cell_angle_gamma 60.00
_space_group_name_H-M_alt 'P 1'
_space_group_IT_number 1
_space_group_name_Hall 'P 1'
loop_
_atom_site_label
_atom_site_type_symbol
_atom_site_fract_x
_atom_site_fract_y
_atom_site_fract_z
_atom_site_occupancy
Sr1 Sr 0.000 0.000 0.000 1
B1 B 0.750 0.750 0.750 1
Os1 Os 0.500 0.500 0.500 1
```

(2)
# ErTmAg2Pb2

An optimized crystal structure of ErTmAg2Pb2 (GGA-PBE, OQMD via LeMat-Bulk).

Calculated values
Space group = P3m1 (156)
Energy = -4.05 eV/atom
Magnetization = 0.00 μB/f.u.

```
data_ErTmAg2Pb2
_cell_length_a 4.789
_cell_length_b 4.789
_cell_length_c 7.413
_cell_angle_alpha 90.00
_cell_angle_beta 90.00
_cell_angle_gamma 120.00
_space_group_name_H-M_alt 'P 1'
_space_group_IT_number 1
_space_group_name_Hall 'P 1'
loop_
_atom_site_label
_atom_site_type_symbol
_atom_site_fract_x
_atom_site_fract_y
_atom_site_fract_z
_atom_site_occupancy
Er1 Er 0.000 0.000 0.000 1
Tm1 Tm 0.000 0.000 0.500 1
Ag1 Ag 0.333 0.667 0.179 1
Ag2 Ag 0.667 0.333 0.679 1
Pb1 Pb 0.333 0.667 0.777 1
Pb2 Pb 0.667 0.333 0.277 1
```

(3)
# LaDyTc

An optimized crystal structure of LaDyTc (GGA-PBE, OQMD via LeMat-Bulk).

Calculated values
Space group = F-43m (216)
Polymorph energy (0 for the lowest one) = 0 meV per atom
Energy of formation from the pure elements = 0.83 eV/atom
Magnetization = 0.11 μB/f.u.

```
data_LaDyTc
_cell_length_a 4.821
_cell_length_b 4.821
_cell_length_c 4.821
_cell_angle_alpha 60.00
_cell_angle_beta 60.00
_cell_angle_gamma 60.00
_space_group_name_H-M_alt 'P 1'
_space_group_IT_number 1
_space_group_name_Hall 'P 1'
loop_
_atom_site_label
_atom_site_type_symbol
_atom_site_fract_x
_atom_site_fract_y
_atom_site_fract_z
_atom_site_occupancy
La1 La 0.000 0.000 0.000 1
Dy1 Dy 0.250 0.250 0.250 1
Tc1 Tc 0.500 0.500 0.500 1
```

(4)
# Li4AlCdPd2

An optimized crystal structure of Li4AlCdPd2 (GGA-PBE, OQMD via LeMat-Bulk).

Calculated values
Space group = P-4m2 (115)
Energy = -3.31 eV/atom

```
data_Li4AlCdPd2
_cell_length_a 4.367
_cell_length_b 4.367
_cell_length_c 6.247
_cell_angle_alpha 90.00
_cell_angle_beta 90.00
_cell_angle_gamma 90.00
_space_group_name_H-M_alt 'P 1'
_space_group_IT_number 1
_space_group_name_Hall 'P 1'
loop_
_atom_site_label
_atom_site_type_symbol
_atom_site_fract_x
_atom_site_fract_y
_atom_site_fract_z
_atom_site_occupancy
Li1 Li 0.000 0.000 0.000 1
Li2 Li 0.000 0.500 0.246 1
Li3 Li 0.500 0.000 0.754 1
Li4 Li 0.500 0.500 0.500 1
Al1 Al 0.500 0.500 0.000 1
Cd1 Cd 0.000 0.000 0.500 1
Pd1 Pd 0.000 0.500 0.782 1
Pd2 Pd 0.500 0.000 0.218 1
```

(5)
# GdMgZn

An optimized crystal structure of GdMgZn (GGA-PBE, OQMD via LeMat-Bulk).

Calculated values
Space group = P3m1 (156)
Energy = -2.69 eV/atom
Magnetization = 0.00 μB/f.u.

```
data_GdMgZn
_cell_length_a 5.008
_cell_length_b 5.008
_cell_length_c 9.286
_cell_angle_alpha 90.00
_cell_angle_beta 90.00
_cell_angle_gamma 120.00
_space_group_name_H-M_alt 'P 1'
_space_group_IT_number 1
_space_group_name_Hall 'P 1'
loop_
_atom_site_label
_atom_site_type_symbol
_atom_site_fract_x
_atom_site_fract_y
_atom_site_fract_z
_atom_site_occupancy
Gd1 Gd 0.000 0.000 0.000 1
Gd2 Gd 0.333 0.667 0.187 1
Gd3 Gd 0.667 0.333 0.626 1
Mg1 Mg 0.000 0.000 0.387 1
Mg2 Mg 0.333 0.667 0.823 1
Mg3 Mg 0.667 0.333 0.281 1
Zn1 Zn 0.000 0.000 0.689 1
Zn2 Zn 0.333 0.667 0.508 1
Zn3 Zn 0.667 0.333 0.966 1
```

(6)
# CuH26C14Br3N4

An optimized crystal structure of CuH26C14Br3N4 (GGA-PBE, OQMD via LeMat-Bulk).

Calculated values
Space group = C2/c (15)
Energy = -5.57 eV/atom

```
data_CuH26C14Br3N4
_cell_length_a 9.573
_cell_length_b 9.573
_cell_length_c 12.164
_cell_angle_alpha 102.19
_cell_angle_beta 102.19
_cell_angle_gamma 64.20
_space_group_name_H-M_alt 'P 1'
_space_group_IT_number 1
_space_group_name_Hall 'P 1'
loop_
_atom_site_label
_atom_site_type_symbol
_atom_site_fract_x
_atom_site_fract_y
_atom_site_fract_z
_atom_site_occupancy
Cu1 Cu 0.242 0.758 0.750 1
Cu2 Cu 0.758 0.242 0.250 1
H1 H 0.021 0.272 0.840 1
H2 H 0.037 0.757 0.951 1
H3 H 0.060 0.438 0.233 1
H4 H 0.090 0.799 0.467 1
H5 H 0.106 0.893 0.361 1
H6 H 0.107 0.894 0.139 1
H7 H 0.120 0.302 0.547 1
H8 H 0.171 0.428 0.665 1
H9 H 0.173 0.246 0.687 1
H10 H 0.201 0.910 0.033 1
H11 H 0.227 0.689 0.367 1
H12 H 0.237 0.648 0.934 1
H13 H 0.240 0.359 0.415 1
H14 H 0.243 0.963 0.549 1
H15 H 0.246 0.173 0.187 1
H16 H 0.272 0.021 0.340 1
H17 H 0.299 0.493 0.517 1
H18 H 0.302 0.120 0.047 1
H19 H 0.311 0.773 0.133 1
H20 H 0.352 0.763 0.566 1
H21 H 0.359 0.240 0.915 1
H22 H 0.377 0.416 0.907 1
H23 H 0.416 0.377 0.407 1
H24 H 0.428 0.171 0.165 1
H25 H 0.438 0.060 0.733 1
H26 H 0.493 0.299 0.017 1
H27 H 0.507 0.701 0.983 1
H28 H 0.562 0.940 0.267 1
H29 H 0.572 0.829 0.835 1
H30 H 0.584 0.623 0.593 1
H31 H 0.623 0.584 0.093 1
H32 H 0.641 0.760 0.085 1
H33 H 0.648 0.237 0.434 1
H34 H 0.689 0.227 0.867 1
H35 H 0.698 0.880 0.953 1
H36 H 0.701 0.507 0.483 1
H37 H 0.728 0.979 0.660 1
H38 H 0.754 0.827 0.813 1
H39 H 0.757 0.037 0.451 1
H40 H 0.760 0.641 0.585 1
H41 H 0.763 0.352 0.066 1
H42 H 0.773 0.311 0.633 1
H43 H 0.799 0.090 0.967 1
H44 H 0.827 0.754 0.313 1
H45 H 0.829 0.572 0.335 1
H46 H 0.880 0.698 0.453 1
H47 H 0.893 0.106 0.861 1
H48 H 0.894 0.107 0.639 1
H49 H 0.910 0.201 0.533 1
H50 H 0.940 0.562 0.767 1
H51 H 0.963 0.243 0.049 1
H52 H 0.979 0.728 0.160 1
C1 C 0.066 0.610 0.136 1
C2 C 0.105 0.471 0.172 1
C3 C 0.156 0.704 0.998 1
C4 C 0.172 0.804 0.418 1
C5 C 0.195 0.305 0.629 1
C6 C 0.196 0.828 0.082 1
C7 C 0.256 0.428 0.041 1
C8 C 0.296 0.844 0.502 1
C9 C 0.305 0.195 0.129 1
C10 C 0.342 0.377 0.465 1
C11 C 0.377 0.342 0.965 1
C12 C 0.390 0.934 0.364 1
C13 C 0.428 0.256 0.541 1
C14 C 0.471 0.105 0.672 1
C15 C 0.529 0.895 0.328 1
C16 C 0.572 0.744 0.459 1
C17 C 0.610 0.066 0.636 1
C18 C 0.623 0.658 0.035 1
C19 C 0.658 0.623 0.535 1
C20 C 0.695 0.805 0.871 1
C21 C 0.704 0.156 0.498 1
C22 C 0.744 0.572 0.959 1
C23 C 0.804 0.172 0.918 1
C24 C 0.805 0.695 0.371 1
C25 C 0.828 0.196 0.582 1
C26 C 0.844 0.296 0.002 1
C27 C 0.895 0.529 0.828 1
C28 C 0.934 0.390 0.864 1
Br1 Br 0.006 0.246 0.328 1
Br2 Br 0.246 0.006 0.828 1
Br3 Br 0.472 0.528 0.750 1
Br4 Br 0.528 0.472 0.250 1
Br5 Br 0.754 0.994 0.172 1
Br6 Br 0.994 0.754 0.672 1
N1 N 0.160 0.581 0.055 1
N2 N 0.222 0.359 0.112 1
N3 N 0.359 0.222 0.612 1
N4 N 0.419 0.840 0.445 1
N5 N 0.581 0.160 0.555 1
N6 N 0.641 0.778 0.388 1
N7 N 0.778 0.641 0.888 1
N8 N 0.840 0.419 0.945 1
```

(7)
# HfNbNiB

An optimized crystal structure of HfNbNiB (GGA-PBE, OQMD via LeMat-Bulk).

Calculated values
Space group = F-43m (216)
Polymorph energy (0 for the lowest one) = 0 meV per atom
Magnetization = 0.07 μB/f.u.

```
data_HfNbNiB
_cell_length_a 4.297
_cell_length_b 4.297
_cell_length_c 4.297
_cell_angle_alpha 60.00
_cell_angle_beta 60.00
_cell_angle_gamma 60.00
_space_group_name_H-M_alt 'P 1'
_space_group_IT_number 1
_space_group_name_Hall 'P 1'
loop_
_atom_site_label
_atom_site_type_symbol
_atom_site_fract_x
_atom_site_fract_y
_atom_site_fract_z
_atom_site_occupancy
Hf1 Hf 0.000 0.000 0.000 1
Nb1 Nb 0.500 0.500 0.500 1
Ni1 Ni 0.750 0.750 0.750 1
B1 B 0.250 0.250 0.250 1
```

(8)
# ThGaIr

An optimized crystal structure of ThGaIr (GGA-PBE, OQMD via LeMat-Bulk).

Calculated values
Space group = P-62m (189)
Energy = -7.12 eV/atom
Magnetization = 0.00 μB/f.u.

```
data_ThGaIr
_cell_length_a 7.153
_cell_length_b 7.153
_cell_length_c 4.164
_cell_angle_alpha 90.00
_cell_angle_beta 90.00
_cell_angle_gamma 120.00
_space_group_name_H-M_alt 'P 1'
_space_group_IT_number 1
_space_group_name_Hall 'P 1'
loop_
_atom_site_label
_atom_site_type_symbol
_atom_site_fract_x
_atom_site_fract_y
_atom_site_fract_z
_atom_site_occupancy
Th1 Th 0.000 0.587 0.000 1
Th2 Th 0.413 0.413 0.000 1
Th3 Th 0.587 0.000 0.000 1
Ga1 Ga 0.000 0.000 0.000 1
Ga2 Ga 0.333 0.667 0.500 1
Ga3 Ga 0.667 0.333 0.500 1
Ir1 Ir 0.000 0.239 0.500 1
Ir2 Ir 0.239 0.000 0.500 1
Ir3 Ir 0.761 0.761 0.500 1
```

(9)
# Li2MgCdSn2Ir2

An optimized crystal structure of Li2MgCdSn2Ir2 (GGA-PBE, OQMD via LeMat-Bulk).

Calculated values
Space group = P-4m2 (115)
Energy = -4.37 eV/atom
Magnetization = 0.01 μB/f.u.

```
data_Li2MgCdSn2Ir2
_cell_length_a 4.550
_cell_length_b 4.550
_cell_length_c 6.459
_cell_angle_alpha 90.00
_cell_angle_beta 90.00
_cell_angle_gamma 90.00
_space_group_name_H-M_alt 'P 1'
_space_group_IT_number 1
_space_group_name_Hall 'P 1'
loop_
_atom_site_label
_atom_site_type_symbol
_atom_site_fract_x
_atom_site_fract_y
_atom_site_fract_z
_atom_site_occupancy
Li1 Li 0.000 0.500 0.249 1
Li2 Li 0.500 0.000 0.751 1
Mg1 Mg 0.000 0.000 0.500 1
Cd1 Cd 0.500 0.500 0.000 1
Sn1 Sn 0.000 0.000 0.000 1
Sn2 Sn 0.500 0.500 0.500 1
Ir1 Ir 0.000 0.500 0.742 1
Ir2 Ir 0.500 0.000 0.258 1
```

(10)
# CsErTe3As

An optimized crystal structure of CsErTe3As (GGA-PBE, OQMD via LeMat-Bulk).

Calculated values
Space group = Cmcm (63)
Energy = -4.03 eV/atom
Magnetization = 0.00 μB/f.u.

```
data_CsErTe3As
_cell_length_a 8.578
_cell_length_b 8.578
_cell_length_c 12.452
_cell_angle_alpha 90.00
_cell_angle_beta 90.00
_cell_angle_gamma 148.52
_space_group_name_H-M_alt 'P 1'
_space_group_IT_number 1
_space_group_name_Hall 'P 1'
loop_
_atom_site_label
_atom_site_type_symbol
_atom_site_fract_x
_atom_site_fract_y
_atom_site_fract_z
_atom_site_occupancy
Cs1 Cs 0.243 0.757 0.750 1
Cs2 Cs 0.757 0.243 0.250 1
Er1 Er 0.500 0.500 0.000 1
Er2 Er 0.500 0.500 0.500 1
Te1 Te 0.122 0.878 0.022 1
Te2 Te 0.122 0.878 0.478 1
Te3 Te 0.490 0.510 0.250 1
Te4 Te 0.510 0.490 0.750 1
Te5 Te 0.878 0.122 0.522 1
Te6 Te 0.878 0.122 0.978 1
As1 As 0.076 0.924 0.250 1
As2 As 0.924 0.076 0.750 1
```

(11)
# ZnCuAu2

An optimized crystal structure of ZnCuAu2 (GGA-PBE, OQMD via LeMat-Bulk).

Calculated values
Space group = P6_3/mmc (194)
Energy of formation from the pure elements = -0.06 eV/atom

```
data_ZnCuAu2
_cell_length_a 4.302
_cell_length_b 4.302
_cell_length_c 8.207
_cell_angle_alpha 90.00
_cell_angle_beta 90.00
_cell_angle_gamma 120.00
_space_group_name_H-M_alt 'P 1'
_space_group_IT_number 1
_space_group_name_Hall 'P 1'
loop_
_atom_site_label
_atom_site_type_symbol
_atom_site_fract_x
_atom_site_fract_y
_atom_site_fract_z
_atom_site_occupancy
Zn1 Zn 0.000 0.000 0.250 1
Zn2 Zn 0.000 0.000 0.750 1
Cu1 Cu 0.333 0.667 0.250 1
Cu2 Cu 0.667 0.333 0.750 1
Au1 Au 0.333 0.667 0.582 1
Au2 Au 0.333 0.667 0.918 1
Au3 Au 0.667 0.333 0.082 1
Au4 Au 0.667 0.333 0.418 1
```

(12)
# ErAlRe

An optimized crystal structure of ErAlRe (GGA-PBE, OQMD via LeMat-Bulk).

Calculated values
Space group = F-43m (216)
Polymorph energy (0 for the lowest one) = 0 meV per atom
Magnetization = 0.49 μB/f.u.

```
data_ErAlRe
_cell_length_a 4.519
_cell_length_b 4.519
_cell_length_c 4.519
_cell_angle_alpha 60.00
_cell_angle_beta 60.00
_cell_angle_gamma 60.00
_space_group_name_H-M_alt 'P 1'
_space_group_IT_number 1
_space_group_name_Hall 'P 1'
loop_
_atom_site_label
_atom_site_type_symbol
_atom_site_fract_x
_atom_site_fract_y
_atom_site_fract_z
_atom_site_occupancy
Er1 Er 0.000 0.000 0.000 1
Al1 Al 0.500 0.500 0.500 1
Re1 Re 0.750 0.750 0.750 1
```